Entry from the Alexandria database: crystalline UPaOs2 at its relaxed geometry (PBE).

SG   No. 225
M_tot   7.76 μB per cell
Distance to the lowest polymorph of the same formula   0.05 eV/f.u.

The structure in extended XYZ format:
```
16
Lattice="6.830 0.000 0.000 0.000 6.830 0.000 0.000 0.000 6.830" Properties=species:S:1:pos:R:3 pbc="T T T"
U 0.000 0.000 0.000
U 0.000 3.415 3.415
U 3.415 0.000 3.415
U 3.415 3.415 0.000
Pa 0.000 0.000 3.415
Pa 0.000 3.415 0.000
Pa 3.415 0.000 0.000
Pa 3.415 3.415 3.415
Os 1.707 1.707 1.707
Os 1.707 1.707 5.122
Os 1.707 5.122 1.707
Os 1.707 5.122 5.122
Os 5.122 1.707 1.707
Os 5.122 1.707 5.122
Os 5.122 5.122 1.707
Os 5.122 5.122 5.122
```